No. 1
Computed, not measured: an optimized crystal structure of Sc6HCN at the PBE level of DFT.

Cell: 5.5103 5.5103 9.8839 Å, 90.00 90.00 90.00°
With the nearest neighbours (Å) after each atom.
Fractional coordinates of all 18 atoms:
Sc: 0.2096 0.7904 0.5056  1 C 2.26, 1 N 2.26, 1 H 2.34
Sc: 0.7904 0.2096 0.5056  1 C 2.26, 1 N 2.26, 1 H 2.34
Sc: 0.2904 0.2904 0.0056  1 C 2.26, 1 N 2.26, 1 H 2.34
Sc: 0.7096 0.7096 0.0056  1 C 2.26, 1 N 2.26, 1 H 2.34
Sc: 0.2131 0.7869 0.1612  1 N 2.24, 1 C 2.28, 1 H 2.40
Sc: 0.7869 0.2131 0.1612  1 N 2.24, 1 C 2.28, 1 H 2.40
Sc: 0.2869 0.2869 0.6612  1 N 2.24, 1 C 2.28, 1 H 2.40
Sc: 0.7131 0.7131 0.6612  1 N 2.24, 1 C 2.28, 1 H 2.40
Sc: 0.8052 0.1948 0.8315  1 N 2.24, 1 C 2.27, 1 H 2.38
Sc: 0.1948 0.8052 0.8315  1 N 2.24, 1 C 2.27, 1 H 2.38
Sc: 0.6948 0.6948 0.3315  1 N 2.24, 1 C 2.27, 1 H 2.38
Sc: 0.3052 0.3052 0.3315  1 N 2.24, 1 C 2.27, 1 H 2.38
H: 0.5000 0.5000 0.8364  6 Sc 2.34-2.40
H: 0.0000 0.0000 0.3364  6 Sc 2.34-2.40
C: 0.5000 0.5000 0.5028  6 Sc 2.26-2.28
C: 0.0000 0.0000 0.0028  6 Sc 2.26-2.28
N: 0.5000 0.5000 0.1642  6 Sc 2.24-2.26
N: 0.0000 0.0000 0.6642  6 Sc 2.24-2.26

## Properties
The calculation puts the size of the total moment at 3.7 μB/f.u. The uncorrected energy is -7.1377 eV per atom. The space group is P4_2nm (102).

***

No. 2
Computed, not measured: an optimized crystal structure of Sc6H2CN3 at the PBE level of DFT.

Cell: 5.5945 5.5945 5.6339 Å, 99.67 99.67 119.90°
With the nearest neighbours (Å) after each atom.
Fractional coordinates of all 12 atoms:
Sc: 0.9103 0.5930 0.7283  3 N 2.19-2.29, 1 C 2.28, 2 H 2.40-2.41
Sc: 0.7692 0.7692 0.2619  3 N 2.23-2.33, 1 C 2.26, 2 H 2.34
Sc: 0.0897 0.4070 0.2717  3 N 2.19-2.29, 1 C 2.28, 2 H 2.40-2.41
Sc: 0.5930 0.9103 0.7283  3 N 2.19-2.29, 1 C 2.28, 2 H 2.40-2.41
Sc: 0.2308 0.2308 0.7381  3 N 2.23-2.33, 1 C 2.26, 2 H 2.34
Sc: 0.4070 0.0897 0.2717  3 N 2.19-2.29, 1 C 2.28, 2 H 2.40-2.41
H: 0.3358 0.6642 0.0000  6 Sc 2.34-2.41
H: 0.6642 0.3358 0.0000  6 Sc 2.34-2.41
C: 0.0000 0.0000 0.0000  6 Sc 2.26-2.28
N: 0.1684 0.8316 0.5000  6 Sc 2.19-2.29
N: 0.8316 0.1684 0.5000  6 Sc 2.19-2.29
N: 0.5000 0.5000 0.5000  6 Sc 2.19-2.33

## Properties
The calculation puts the size of the total moment at 0.0 μB/f.u. The uncorrected energy is -7.8256 eV per atom. The space group is C2/m (12).

***

No. 3
Computed, not measured: an optimized crystal structure of SiHCN2 at the PBE level of DFT.

Cell: 2.7333 7.1078 2.7333 Å, 90.00 90.00 90.00°
With the nearest neighbours (Å) after each atom.
Fractional coordinates of all 5 atoms:
H: 0.0000 0.0000 0.0000  4 N 1.37
Si: 0.0000 0.5000 0.0000  4 C 1.93
C: 0.5000 0.5000 0.5000  4 Si 1.93
N: 0.0000 0.0000 0.5000  2 H 1.37
N: 0.5000 0.0000 0.0000  2 H 1.37

## Properties
The calculation puts the size of the total moment at 0.3 μB/f.u. The uncorrected energy is -4.9264 eV per atom. The space group is P4/mmm (123).

***

No. 4
Computed, not measured: an optimized crystal structure of SmHCN2 at the PBE level of DFT.

Cell: 3.6217 5.0523 7.3779 Å, 90.00 90.00 111.00°
With the nearest neighbours (Å) after each atom.
Fractional coordinates of all 10 atoms:
Sm: 0.7704 0.5408 0.2500  2 H 2.27
Sm: 0.2296 0.4592 0.7500  2 H 2.27
H: 0.8740 0.7480 0.7500  2 Sm 2.27
H: 0.1260 0.2520 0.2500  2 Sm 2.27
C: 0.5000 0.0000 0.5000  2 N 1.23
C: 0.5000 0.0000 0.0000  2 N 1.23
N: 0.3744 0.7487 0.0462  1 C 1.23
N: 0.6256 0.2513 0.5462  1 C 1.23
N: 0.3744 0.7487 0.4538  1 C 1.23
N: 0.6256 0.2513 0.9538  1 C 1.23

## Properties
The calculation puts the size of the total moment at 0.0 μB/f.u. The uncorrected energy is -7.4648 eV per atom. The space group is Cmcm (63).

***

No. 5
Computed, not measured: an optimized crystal structure of Sm4HCN2 at the PBE level of DFT.

Cell: 5.1190 5.1190 6.2793 Å, 114.06 114.06 90.00°
With the nearest neighbours (Å) after each atom.
Fractional coordinates of all 8 atoms:
Sm: 0.9372 0.4372 0.0000  2 H 2.56, 2 C 2.56, 2 N 2.57
Sm: 0.4372 0.9372 0.0000  2 H 2.56, 2 C 2.56, 2 N 2.57
Sm: 0.1764 0.1764 0.4786  1 C 2.46, 4 N 2.56, 1 H 2.68
Sm: 0.6978 0.6978 0.5214  1 C 2.46, 4 N 2.56, 1 H 2.68
H: 0.4373 0.4373 0.0000  6 Sm 2.56-2.68
C: 0.9372 0.9372 0.0000  6 Sm 2.46-2.56
N: 0.1872 0.6872 0.5000  6 Sm 2.56-2.57
N: 0.6872 0.1872 0.5000  6 Sm 2.56-2.57

## Properties
The calculation puts the size of the total moment at 0.0 μB/f.u. The uncorrected energy is -6.8684 eV per atom. The space group is I4/mmm (139).

***

No. 6
Computed, not measured: an optimized crystal structure of Sr2H2CN2 at the PBE level of DFT.

Cell: 4.0720 4.0720 8.3892 Å, 90.00 90.00 120.00°
With the nearest neighbours (Å) after each atom.
Fractional coordinates of all 7 atoms:
Sr: 0.6667 0.3333 0.2953  4 H 2.50-2.53, 3 N 2.66
Sr: 0.3333 0.6667 0.7047  4 H 2.50-2.53, 3 N 2.66
H: 0.6667 0.3333 0.5935  4 Sr 2.50-2.53
H: 0.3333 0.6667 0.4065  4 Sr 2.50-2.53
C: 0.0000 0.0000 0.0000  2 N 1.24
N: 0.0000 0.0000 0.8522  1 C 1.24
N: 0.0000 0.0000 0.1478  1 C 1.24

## Properties
The calculation puts the size of the total moment at 0.0 μB/f.u. The uncorrected energy is -5.8579 eV per atom. The space group is P-3m1 (164).

***

No. 7
Computed, not measured: an optimized crystal structure of Ta2HCN at the PBE level of DFT.

Cell: 4.0551 2.8222 4.0551 Å, 90.00 90.00 90.00°
With the nearest neighbours (Å) after each atom.
Fractional coordinates of all 5 atoms:
H: 0.0000 0.0000 0.0000  2 N 1.41
C: 0.5000 0.5000 0.5000  8 Ta 2.47
N: 0.0000 0.5000 0.0000  2 H 1.41
Ta: 0.0000 0.0000 0.5000  2 H 2.03
Ta: 0.5000 0.0000 0.0000  2 H 2.03

## Properties
The calculation puts the size of the total moment at 0.0 μB/f.u. The uncorrected energy is -8.4161 eV per atom. The space group is P4/mmm (123).

***

No. 8
Computed, not measured: an optimized crystal structure of Ta6H2C3N at the PBE level of DFT.

Cell: 5.4242 5.4242 5.4036 Å, 99.73 99.73 119.81°
With the nearest neighbours (Å) after each atom.
Fractional coordinates of all 12 atoms:
Ta: 0.9162 0.5878 0.7436  3 C 2.18-2.24, 1 N 2.20, 2 H 2.21-2.25
Ta: 0.7520 0.7520 0.2495  3 C 2.18-2.23, 1 N 2.21, 2 H 2.24
Ta: 0.0838 0.4122 0.2564  3 C 2.18-2.24, 1 N 2.20, 2 H 2.21-2.25
Ta: 0.5878 0.9162 0.7436  3 C 2.18-2.24, 1 N 2.20, 2 H 2.21-2.25
Ta: 0.2480 0.2480 0.7505  3 C 2.18-2.23, 1 N 2.21, 2 H 2.24
Ta: 0.4122 0.0838 0.2564  3 C 2.18-2.24, 1 N 2.20, 2 H 2.21-2.25
H: 0.3299 0.6701 0.0000  6 Ta 2.21-2.25
H: 0.6701 0.3299 0.0000  6 Ta 2.21-2.25
C: 0.1630 0.8370 0.5000  6 Ta 2.18-2.24
C: 0.8370 0.1630 0.5000  6 Ta 2.18-2.24
C: 0.5000 0.5000 0.5000  6 Ta 2.18-2.23
N: 0.0000 0.0000 0.0000  6 Ta 2.20-2.21

## Properties
The calculation puts the size of the total moment at 0.0 μB/f.u. The uncorrected energy is -10.0613 eV per atom. The space group is C2/m (12).

***

No. 9
Computed, not measured: an optimized crystal structure of Ta6H3C2N at the PBE level of DFT.

Cell: 5.3325 5.3325 5.4493 Å, 99.34 99.34 119.85°
With the nearest neighbours (Å) after each atom.
Fractional coordinates of all 12 atoms:
Ta: 0.9171 0.5843 0.7513  3 H 2.17-2.20, 1 N 2.19, 2 C 2.19-2.20
Ta: 0.7509 0.7509 0.2476  1 N 2.18, 2 C 2.19, 3 H 2.21-2.24
Ta: 0.0829 0.4157 0.2487  3 H 2.17-2.20, 1 N 2.19, 2 C 2.19-2.20
Ta: 0.5843 0.9171 0.7513  3 H 2.17-2.20, 1 N 2.19, 2 C 2.19-2.20
Ta: 0.2491 0.2491 0.7524  1 N 2.18, 2 C 2.19, 3 H 2.21-2.24
Ta: 0.4157 0.0829 0.2487  3 H 2.17-2.20, 1 N 2.19, 2 C 2.19-2.20
H: 0.1726 0.8274 0.5000  6 Ta 2.17-2.24
H: 0.8274 0.1726 0.5000  6 Ta 2.17-2.24
H: 0.5000 0.5000 0.5000  6 Ta 2.20-2.21
C: 0.3336 0.6664 0.0000  6 Ta 2.19-2.20
C: 0.6664 0.3336 0.0000  6 Ta 2.19-2.20
N: 0.0000 0.0000 0.0000  6 Ta 2.18-2.19

## Properties
The calculation puts the size of the total moment at 0.0 μB/f.u. The uncorrected energy is -9.4965 eV per atom. The space group is C2/m (12).

***

No. 10
Computed, not measured: an optimized crystal structure of Tb4HCN2 at the PBE level of DFT.

Cell: 4.9909 4.9909 6.1346 Å, 114.00 114.00 90.00°
With the nearest neighbours (Å) after each atom.
Fractional coordinates of all 8 atoms:
Tb: 0.9372 0.4372 0.0000  2 H 2.49-2.50, 2 C 2.50, 2 N 2.51
Tb: 0.4371 0.9372 0.0000  2 H 2.49-2.50, 2 C 2.50, 2 N 2.51
Tb: 0.1755 0.1755 0.4768  1 C 2.39, 4 N 2.50, 1 H 2.63
Tb: 0.6987 0.6987 0.5232  1 C 2.39, 4 N 2.50, 1 H 2.63
H: 0.4374 0.4374 0.0000  6 Tb 2.49-2.63
C: 0.9372 0.9372 0.0000  6 Tb 2.39-2.50
N: 0.1871 0.6871 0.5000  6 Tb 2.50-2.51
N: 0.6871 0.1871 0.5000  6 Tb 2.50-2.51

## Properties
The calculation puts the size of the total moment at 0.0 μB/f.u. The uncorrected energy is -6.9495 eV per atom. The space group is I4/mmm (139).